[1]
Material: NdHoRhI
Method: DFT, PBE-GGA
State: optimized geometry

Unit cell a=4.1076 b=4.1075 c=8.3986 alpha=90.00 beta=104.16 gamma=120.00
Fractional positions:
Rh 0.3091 0.5524 0.8769
Ho 0.0910 0.9434 0.0499
Nd 0.5139 0.1548 0.6840
I 0.9639 0.3801 0.3589

Theoretical density in g/cm3: 7.603
Uncorrected formation energy in eV/atom: -0.93
Space-group type: R3m

[2]
Material: NdHoTeI
Method: DFT, PBE-GGA
State: optimized geometry

Unit cell a=5.4085 b=5.4085 c=5.4085 alpha=60.00 beta=60.00 gamma=60.00
Fractional positions:
Nd 0.2500 0.2500 0.2500
Te 0.0000 0.0000 0.0000
I 0.5000 0.5000 0.5000
Ho 0.7500 0.7500 0.7500

Theoretical density in g/cm3: 8.367
Uncorrected formation energy in eV/atom: -1.00
Space-group type: F-43m

[3]
Material: Ho2NiI
Method: DFT, PBE-GGA
State: optimized geometry

Unit cell a=4.0017 b=4.0017 c=8.1486 alpha=75.79 beta=75.79 gamma=60.00
Fractional positions:
Ho 0.0592 0.0592 0.8223
Ho 0.2748 0.2748 0.1756
I 0.4991 0.4991 0.5026
Ni 0.6668 0.6668 0.9995

Theoretical density in g/cm3: 7.898
Uncorrected formation energy in eV/atom: -0.66
Space-group type: R3m